No. 1
A geometry-optimized Te3Ru structure, computed with PBE.

Lattice parameters (Å, degrees): 3.7896 5.0247 5.8999 90.00 90.00 90.00
Element x y z (fractional)
Ru1 0.0000 0.0000 0.1022
Te1 0.5000 0.0000 0.4022
Te2 0.5000 0.5000 0.8821
Te3 0.0000 0.5000 0.2802

Symmetry: No. 25
Total moment: 0.00 μB per formula unit
E_tot: -0.3145 Ry/atom
Theoretical density: 7.152 Mg/m³


No. 2
A geometry-optimized Te3Ru structure, computed with PBE.

Lattice parameters (Å, degrees): 5.1422 5.1422 3.4615 90.00 90.00 90.06
Element x y z (fractional)
Ru1 0.0000 0.0000 0.0000
Te1 0.0000 0.5000 0.5000
Te2 0.5000 0.0000 0.5000
Te3 0.5000 0.5000 0.0000

Symmetry: No. 65
Total moment: 0.00 μB per formula unit
E_tot: -0.2959 Ry/atom
Theoretical density: 8.779 Mg/m³


No. 3
A geometry-optimized Te3Ru structure, computed with PBE.

Lattice parameters (Å, degrees): 3.6107 3.6107 9.4781 90.00 90.00 120.00
Element x y z (fractional)
Ru1 0.0000 0.0000 0.0000
Te1 0.0000 0.0000 0.5000
Te2 0.6667 0.3333 0.1762
Te3 0.6667 0.3333 0.8238

Symmetry: No. 187
Total moment: 0.00 μB per formula unit
E_tot: -0.3366 Ry/atom
Theoretical density: 7.508 Mg/m³


No. 4
A geometry-optimized TeRu4 structure, computed with PBE.

Lattice parameters (Å, degrees): 4.8104 4.8104 4.8104 99.70 99.70 131.52
Element x y z (fractional)
Te1 0.0000 0.0000 0.0000
Ru1 0.8161 0.4003 0.2164
Ru2 0.4003 0.1839 0.5841
Ru3 0.1839 0.5997 0.7836
Ru4 0.5997 0.8161 0.4159

Symmetry: No. 87
Total moment: 0.00 μB per formula unit
E_tot: -0.5742 Ry/atom
Theoretical density: 11.622 Mg/m³


No. 5
A geometry-optimized Te4Ru3 structure, computed with PBE.

Lattice parameters (Å, degrees): 5.3714 5.3714 5.9822 90.00 90.00 120.00
Element x y z (fractional)
Te1 0.0000 0.0000 0.2354
Te2 0.0000 0.0000 0.7646
Te3 0.6667 0.3333 0.5000
Te4 0.3333 0.6667 0.5000
Ru1 0.0000 0.5000 0.0000
Ru2 0.5000 0.5000 0.0000
Ru3 0.5000 0.0000 0.0000

Symmetry: No. 191
Total moment: 4.15 μB per formula unit
E_tot: -0.3659 Ry/atom
Theoretical density: 9.039 Mg/m³


No. 6
A geometry-optimized TeRu3 structure, computed with PBE.

Lattice parameters (Å, degrees): 4.6751 4.6751 2.9602 90.00 90.00 104.75
Element x y z (fractional)
Ru1 0.0000 0.5000 0.5000
Ru2 0.5000 0.0000 0.5000
Ru3 0.5000 0.5000 0.0000
Te1 0.0000 0.0000 0.0000

Symmetry: No. 65
Total moment: 0.00 μB per formula unit
E_tot: -0.5372 Ry/atom
Theoretical density: 11.434 Mg/m³


No. 7
A geometry-optimized TeRu4 structure, computed with PBE.

Lattice parameters (Å, degrees): 5.0007 5.0007 5.0007 109.47 109.47 109.47
Element x y z (fractional)
Te1 0.0000 0.0000 0.0000
Ru1 0.5000 0.0000 0.0000
Ru2 0.5000 0.5000 0.5000
Ru3 0.0000 0.5000 0.0000
Ru4 0.0000 0.0000 0.5000

Symmetry: No. 229
Total moment: 0.00 μB per formula unit
E_tot: -0.4923 Ry/atom
Theoretical density: 9.175 Mg/m³


No. 8
A geometry-optimized TeRu3 structure, computed with PBE.

Lattice parameters (Å, degrees): 2.9430 3.7578 5.7599 90.00 90.00 90.00
Element x y z (fractional)
Ru1 0.5000 0.5000 0.7273
Ru2 0.0000 0.0000 0.5000
Ru3 0.5000 0.5000 0.2727
Te1 0.0000 0.0000 0.0000

Symmetry: No. 47
Total moment: 0.00 μB per formula unit
E_tot: -0.5385 Ry/atom
Theoretical density: 11.231 Mg/m³


No. 9
A geometry-optimized TeRu5 structure, computed with PBE.

Lattice parameters (Å, degrees): 2.8517 2.8517 11.3731 90.00 90.00 90.00
Element x y z (fractional)
Te1 0.5000 0.5000 0.0000
Ru1 0.0000 0.0000 0.8144
Ru2 0.0000 0.0000 0.1856
Ru3 0.5000 0.5000 0.6635
Ru4 0.5000 0.5000 0.3365
Ru5 0.0000 0.0000 0.5000

Symmetry: No. 123
Total moment: 0.00 μB per formula unit
E_tot: -0.5764 Ry/atom
Theoretical density: 11.364 Mg/m³


No. 10
A geometry-optimized Te4Ru structure, computed with PBE.

Lattice parameters (Å, degrees): 10.2066 10.2066 10.2066 157.51 157.51 32.01
Element x y z (fractional)
Te1 0.2500 0.7500 0.5000
Te2 0.7500 0.2500 0.5000
Te3 0.4309 0.4309 0.0000
Te4 0.5691 0.5691 0.0000
Ru1 0.0000 0.0000 0.0000

Symmetry: No. 139
Total moment: 0.96 μB per formula unit
E_tot: -0.2766 Ry/atom
Theoretical density: 6.532 Mg/m³


No. 11
A geometry-optimized Te3Ru structure, computed with PBE.

Lattice parameters (Å, degrees): 6.1798 6.3006 10.8855 90.00 90.00 90.00
Element x y z (fractional)
Ru1 0.5435 0.9601 0.7500
Ru2 0.0435 0.5399 0.2500
Ru3 0.9565 0.4601 0.7500
Ru4 0.4565 0.0399 0.2500
Te1 0.1452 0.0847 0.7500
Te2 0.6452 0.4153 0.2500
Te3 0.3548 0.5847 0.7500
Te4 0.8548 0.9153 0.2500
Te5 0.6522 0.2833 0.8996
Te6 0.1522 0.2167 0.1004
Te7 0.8478 0.7833 0.6004
Te8 0.3478 0.7167 0.3996
Te9 0.3478 0.7167 0.1004
Te10 0.8478 0.7833 0.8996
Te11 0.1522 0.2167 0.3996
Te12 0.6522 0.2833 0.6004

Symmetry: No. 62
Total moment: 0.00 μB per formula unit
E_tot: -0.3434 Ry/atom
Theoretical density: 7.583 Mg/m³


No. 12
A geometry-optimized Te7Ru6 structure, computed with PBE.

Lattice parameters (Å, degrees): 8.1373 8.1373 8.1373 54.40 54.40 54.40
Element x y z (fractional)
Ru1 0.9459 0.9459 0.9459
Ru2 0.0541 0.0541 0.0541
Ru3 0.8320 0.8320 0.8320
Ru4 0.1680 0.1680 0.1680
Ru5 0.6469 0.6469 0.6469
Ru6 0.3531 0.3531 0.3531
Te1 0.9659 0.4040 0.4040
Te2 0.4040 0.4040 0.9659
Te3 0.4040 0.9659 0.4040
Te4 0.0341 0.5960 0.5960
Te5 0.5960 0.0341 0.5960
Te6 0.5960 0.5960 0.0341
Te7 0.5000 0.5000 0.5000

Symmetry: No. 166
Total moment: 0.36 μB per formula unit
E_tot: -0.3665 Ry/atom
Theoretical density: 7.517 Mg/m³


No. 13
A geometry-optimized TeRu3 structure, computed with PBE.

Lattice parameters (Å, degrees): 2.8756 2.8756 9.2603 90.00 90.00 119.25
Element x y z (fractional)
Ru1 0.0000 0.0000 0.9841
Ru2 0.5000 0.5000 0.7500
Ru3 0.0000 0.0000 0.5159
Te1 0.5000 0.5000 0.2500

Symmetry: No. 65
Total moment: 0.96 μB per formula unit
E_tot: -0.5049 Ry/atom
Theoretical density: 10.708 Mg/m³


No. 14
A geometry-optimized TeRu3 structure, computed with PBE.

Lattice parameters (Å, degrees): 5.7297 5.7297 4.3748 90.00 90.00 120.00
Element x y z (fractional)
Te1 0.3333 0.6667 0.2500
Te2 0.6667 0.3333 0.7500
Ru1 0.8356 0.6711 0.2500
Ru2 0.3289 0.1644 0.2500
Ru3 0.8356 0.1644 0.2500
Ru4 0.1644 0.3289 0.7500
Ru5 0.6711 0.8356 0.7500
Ru6 0.1644 0.8356 0.7500

Symmetry: No. 194
Total moment: 0.00 μB per formula unit
E_tot: -0.5417 Ry/atom
Theoretical density: 11.503 Mg/m³


No. 15
A geometry-optimized TeRu3 structure, computed with PBE.

Lattice parameters (Å, degrees): 8.6452 8.6452 8.6452 19.73 19.73 19.73
Element x y z (fractional)
Ru1 0.7509 0.7509 0.7509
Ru2 0.5000 0.5000 0.5000
Ru3 0.2491 0.2491 0.2491
Te1 0.0000 0.0000 0.0000

Symmetry: No. 166
Total moment: 0.00 μB per formula unit
E_tot: -0.5280 Ry/atom
Theoretical density: 11.111 Mg/m³


No. 16
A geometry-optimized TeRu5 structure, computed with PBE.

Lattice parameters (Å, degrees): 4.8247 4.8247 4.4623 90.00 90.00 120.00
Element x y z (fractional)
Te1 0.0000 0.0000 0.5000
Ru1 0.6437 0.0000 0.0000
Ru2 0.3563 0.3563 0.0000
Ru3 0.0000 0.6437 0.0000
Ru4 0.6667 0.3333 0.5000
Ru5 0.3333 0.6667 0.5000

Symmetry: No. 189
Total moment: 0.00 μB per formula unit
E_tot: -0.5879 Ry/atom
Theoretical density: 11.684 Mg/m³


No. 17
A geometry-optimized Te3Ru2 structure, computed with PBE.

Lattice parameters (Å, degrees): 6.9833 6.9842 6.7087 58.64 58.64 60.00
Element x y z (fractional)
Te1 0.2500 0.5698 0.7501
Te2 0.5699 0.9302 0.7499
Te3 0.9300 0.2500 0.7500
Te4 0.0700 0.7500 0.2500
Te5 0.4301 0.0698 0.2501
Te6 0.7500 0.4302 0.2499
Ru1 0.8418 0.8418 0.9745
Ru2 0.6582 0.6582 0.5255
Ru3 0.3418 0.3418 0.4745
Ru4 0.1582 0.1582 0.0255

Symmetry: No. 167
Total moment: 0.00 μB per formula unit
E_tot: -0.4230 Ry/atom
Theoretical density: 8.577 Mg/m³


No. 18
A geometry-optimized Te3Ru structure, computed with PBE.

Lattice parameters (Å, degrees): 3.9260 5.4852 5.4850 59.40 90.00 90.00
Element x y z (fractional)
Ru1 0.0000 0.0000 0.0000
Te1 0.5000 0.8127 0.8126
Te2 0.0000 0.5000 0.5000
Te3 0.5000 0.1873 0.1874

Symmetry: No. 65
Total moment: 0.00 μB per formula unit
E_tot: -0.3464 Ry/atom
Theoretical density: 7.903 Mg/m³


No. 19
A geometry-optimized Te6Ru7 structure, computed with PBE.

Lattice parameters (Å, degrees): 9.6344 9.6344 9.6344 34.61 34.61 34.61
Element x y z (fractional)
Ru1 0.9065 0.4315 0.4315
Ru2 0.4315 0.4315 0.9065
Ru3 0.4315 0.9065 0.4315
Ru4 0.0935 0.5685 0.5685
Ru5 0.5685 0.0935 0.5685
Ru6 0.5685 0.5685 0.0935
Ru7 0.5000 0.5000 0.5000
Te1 0.9339 0.9339 0.9339
Te2 0.0661 0.0661 0.0661
Te3 0.8156 0.8156 0.8156
Te4 0.1844 0.1844 0.1844
Te5 0.6701 0.6701 0.6701
Te6 0.3299 0.3299 0.3299

Symmetry: No. 166
Total moment: 2.05 μB per formula unit
E_tot: -0.4473 Ry/atom
Theoretical density: 9.501 Mg/m³


No. 20
A geometry-optimized ThTeRu structure, computed with PBE.

Lattice parameters (Å, degrees): 4.1227 6.5647 12.1884 90.00 90.00 90.00
Element x y z (fractional)
Th1 0.7500 0.6630 0.1448
Th2 0.2500 0.3370 0.8552
Th3 0.7500 0.8370 0.6448
Th4 0.2500 0.1630 0.3552
Te1 0.7500 0.3360 0.6348
Te2 0.7500 0.1640 0.1348
Te3 0.2500 0.6640 0.3652
Te4 0.2500 0.8360 0.8652
Ru1 0.7500 0.9007 0.4353
Ru2 0.2500 0.4007 0.0647
Ru3 0.7500 0.5993 0.9353
Ru4 0.2500 0.0993 0.5647

Symmetry: No. 62
Total moment: 0.00 μB per formula unit
E_tot: -0.5314 Ry/atom
Theoretical density: 9.276 Mg/m³